A plane-wave DFT calculation with PBE was carried out for a geometry-optimized HIBr2 structure.

energy relative to the lowest polymorph listed for this composition: 789 meV/atom
magnetic moment: 0.0 μB/f.u.
crystal system: trigonal
volume: 22.4 Å³/atom

Unit cell a=3.6129 b=3.6129 c=23.7593 alpha=90.00 beta=90.00 gamma=120.00
Space group R-3m (No. 166, hexagonal axes)
Inequivalent atoms, fractional coordinates:
H: 0.0000 0.0000 0.0000 [3 per cell]
I: 0.0000 0.0000 0.5000 [3 per cell]
Br: 0.0000 0.0000 0.2774 [6 per cell]